Density functional theory data (GGA+U) for an optimized crystal structure of K2CoH12S2O14.

Output
raw total energy	-5.351	eV per atom

Lattice parameters (Å, degrees): 6.2438 9.1124 12.2913 90.00 90.00 103.58
Site moments in Bohr magnetons follow the coordinates.
Sites, in units of the cell vectors:
1 K 0.3367 0.1337 0.6579  0.00
2 K 0.6633 0.3663 0.1579  0.00
3 K 0.6633 0.8663 0.3421  0.00
4 K 0.3367 0.6337 0.8421  0.00
5 Co 0.0000 0.0000 0.0000  2.76
6 Co 0.0000 0.5000 0.5000  2.76
7 H 0.3231 0.2222 0.9137  0.00
8 H 0.6769 0.2778 0.4137  0.00
9 H 0.6769 0.7778 0.0863  0.00
10 H 0.3231 0.7222 0.5863  0.00
11 H 0.0915 0.2520 0.8762  0.00
12 H 0.9085 0.2480 0.3762  0.00
13 H 0.9085 0.7480 0.1238  0.00
14 H 0.0915 0.7520 0.6238  0.00
15 H 0.9168 0.7279 0.8968  0.00
16 H 0.0832 0.7721 0.3968  0.00
17 H 0.0832 0.2721 0.1032  0.00
18 H 0.9168 0.2279 0.6032  0.00
19 H 0.9901 0.8553 0.8077  0.00
20 H 0.0099 0.6447 0.3077  0.00
21 H 0.0099 0.1447 0.1923  0.00
22 H 0.9901 0.3553 0.6923  0.00
23 H 0.3282 0.8844 0.0648  0.00
24 H 0.6718 0.6156 0.5648  0.00
25 H 0.6718 0.1156 0.9352  0.00
26 H 0.3282 0.3844 0.4352  0.00
27 H 0.3307 0.0247 0.1439  0.00
28 H 0.6693 0.4753 0.6439  0.00
29 H 0.6693 0.9753 0.8561  0.00
30 H 0.3307 0.5247 0.3561  0.00
31 S 0.7215 0.4113 0.8618  0.00
32 S 0.2785 0.0887 0.3618  0.00
33 S 0.2785 0.5887 0.1382  0.00
34 S 0.7215 0.9113 0.6382  0.00
35 O 0.5770 0.4018 0.7637  0.00
36 O 0.4230 0.0982 0.2637  0.00
37 O 0.4230 0.5982 0.2363  0.00
38 O 0.5770 0.9018 0.7363  0.00
39 O 0.7414 0.5588 0.9171  0.00
40 O 0.2586 0.9412 0.4171  0.00
41 O 0.2586 0.4412 0.0829  0.00
42 O 0.7414 0.0588 0.5829  0.00
43 O 0.6155 0.2876 0.9388  0.00
44 O 0.3845 0.2124 0.4388  0.00
45 O 0.3845 0.7124 0.0612  0.00
46 O 0.6155 0.7876 0.5612  0.00
47 O 0.9449 0.3917 0.8289  0.00
48 O 0.0551 0.1083 0.3289  0.00
49 O 0.0551 0.6083 0.1711  0.00
50 O 0.9449 0.8917 0.6711  0.00
51 O 0.1723 0.1721 0.8887  0.03
52 O 0.8277 0.3279 0.3887  0.03
53 O 0.8277 0.8279 0.1113  0.03
54 O 0.1723 0.6721 0.6113  0.03
55 O 0.0236 0.8265 0.8828  0.03
56 O 0.9764 0.6735 0.3828  0.03
57 O 0.9764 0.1735 0.1172  0.03
58 O 0.0236 0.3265 0.6172  0.03
59 O 0.2898 0.9843 0.0694  0.03
60 O 0.7102 0.5157 0.5694  0.03
61 O 0.7102 0.0157 0.9306  0.03
62 O 0.2898 0.4843 0.4306  0.03